Record 1
First-principles (GGA-PBEsol) data for a relaxed structure of Ag3Pt2, as listed in Alexandria via LeMat-Bulk.

Unit cell a=6.3077 b=6.3077 c=3.9742 alpha=90.00 beta=90.00 gamma=90.00
Fractional positions:
Ag1 0.0000 0.5000 0.0000
Ag2 0.0972 0.7957 0.5000
Ag3 0.2043 0.0972 0.0000
Ag4 0.5000 0.0000 0.5000
Ag5 0.7957 0.9028 0.0000
Ag6 0.9028 0.2043 0.5000
Pt1 0.3094 0.4027 0.5000
Pt2 0.4027 0.6906 0.0000
Pt3 0.5973 0.3094 0.0000
Pt4 0.6906 0.5973 0.5000

Computed properties:
Total magnetization, μB/f.u.: 0.0
Energy of formation, eV/atom: 0.019
Distance to the lowest polymorph of the same formula, eV/atom: 0.0593

Record 2
First-principles (GGA-PBEsol) data for a relaxed structure of AgPt, as listed in Alexandria via LeMat-Bulk.

Unit cell a=2.7598 b=2.7598 c=4.7274 alpha=90.00 beta=90.00 gamma=120.00
Fractional positions:
Ag1 0.0000 0.0000 0.0000
Pt1 0.3333 0.6667 0.5000

Computed properties:
Total magnetization, μB/f.u.: 0.0
Energy of formation, eV/atom: -0.036

Record 3
First-principles (GGA-PBEsol) data for a relaxed structure of Ag5Pt, as listed in Alexandria via LeMat-Bulk.

Unit cell a=4.9189 b=4.9189 c=4.6490 alpha=90.00 beta=90.00 gamma=120.00
Fractional positions:
Ag1 0.0000 0.6720 0.0000
Ag2 0.3280 0.3280 0.0000
Ag3 0.3333 0.6667 0.5000
Ag4 0.6667 0.3333 0.5000
Ag5 0.6720 0.0000 0.0000
Pt1 0.0000 0.0000 0.5000

Computed properties:
Total magnetization, μB/f.u.: 0.0
Energy of formation, eV/atom: 0.013
Distance to the lowest polymorph of the same formula, eV/atom: 0.0090

Record 4
First-principles (GGA-PBEsol) data for a relaxed structure of AgPt7, as listed in Alexandria via LeMat-Bulk.

Unit cell a=5.5458 b=5.5458 c=5.5458 alpha=60.00 beta=60.00 gamma=60.00
Fractional positions:
Ag1 0.0000 0.0000 0.0000
Pt1 0.0000 0.0000 0.5000
Pt2 0.0000 0.5000 0.0000
Pt3 0.0000 0.5000 0.5000
Pt4 0.5000 0.0000 0.0000
Pt5 0.5000 0.0000 0.5000
Pt6 0.5000 0.5000 0.0000
Pt7 0.5000 0.5000 0.5000

Computed properties:
Total magnetization, μB/f.u.: 0.0
Energy of formation, eV/atom: -0.006

Record 5
First-principles (GGA-PBEsol) data for a relaxed structure of Ag4Pt, as listed in Alexandria via LeMat-Bulk.

Unit cell a=4.9067 b=4.9067 c=4.9067 alpha=99.73 beta=99.73 gamma=131.45
Fractional positions:
Ag1 0.1013 0.7015 0.8028
Ag2 0.2985 0.1013 0.3998
Ag3 0.7015 0.8987 0.6002
Ag4 0.8987 0.2985 0.1972
Pt1 0.5000 0.5000 0.0000

Computed properties:
Total magnetization, μB/f.u.: 0.0
Energy of formation, eV/atom: 0.011
Distance to the lowest polymorph of the same formula, eV/atom: 0.0256

Record 6
First-principles (GGA-PBEsol) data for a relaxed structure of AgPt, as listed in Alexandria via LeMat-Bulk.

Unit cell a=4.8014 b=4.8014 c=4.8014 alpha=130.53 beta=130.53 gamma=72.57
Fractional positions:
Ag1 0.3750 0.6250 0.7500
Ag2 0.6250 0.3750 0.2500
Pt1 0.1250 0.8750 0.2500
Pt2 0.8750 0.1250 0.7500

Computed properties:
Total magnetization, μB/f.u.: 0.0
Energy of formation, eV/atom: 0.074